No. 1
Density functional theory data (PBE) for an optimized crystal structure of NaCdRh3.

Calculated values
Space group: Pm-3m, No. 221
Calculated formation energy (kJ per mole of atoms): 136.4

Lattice parameters (Å, degrees): 4.537 4.537 4.537 90.00 90.00 90.00
Fractional positions:
Cd1 0.500 0.500 0.500
Rh1 0.000 0.500 0.000
Na1 0.000 0.000 0.000
Rh2 0.000 0.000 0.500
Rh3 0.500 0.000 0.000

***

No. 2
Density functional theory data (PBE) for an optimized crystal structure of SbPd2Cl.

Calculated values
Space group: I-42d, No. 122
Formation energy (no corrections) (eV per atom): -0.14

Lattice parameters (Å, degrees): 6.640 6.640 6.264 58.00 58.00 90.00
Fractional positions:
Sb1 0.000 0.000 0.000
Pd1 0.121 0.625 0.250
Cl1 0.500 0.500 0.000
Pd2 0.875 0.879 0.750
Pd3 0.375 0.371 0.750
Pd4 0.629 0.125 0.250
Cl2 0.250 0.750 0.500
Sb2 0.750 0.250 0.500

***

No. 3
Density functional theory data (PBE) for an optimized crystal structure of Pm2GeS.

Calculated values
Space group: P4/mmm, No. 123
Formation energy (no corrections) (eV per atom): -1.18

Lattice parameters (Å, degrees): 3.448 3.448 7.686 90.00 90.00 90.00
Fractional positions:
Ge1 0.500 0.500 0.000
Pm1 0.000 0.000 0.736
Pm2 0.000 0.000 0.264
S1 0.500 0.500 0.500

***

No. 4
Density functional theory data (PBE) for an optimized crystal structure of TaTc2Os.

Calculated values
Space group: Pmm2, No. 25
Calculated formation energy (kJ per mole of atoms): 0.0

Lattice parameters (Å, degrees): 2.823 3.882 5.642 90.00 90.00 90.00
Fractional positions:
Tc1 0.000 0.000 0.018
Tc2 0.500 0.500 0.248
Os1 0.000 0.000 0.487
Ta1 0.500 0.500 0.747

***

No. 5
Density functional theory data (PBE) for an optimized crystal structure of LaHo2Pa.

Calculated values
Space group: R-3m, No. 166
Calculated formation energy (kJ per mole of atoms): 16.7

Lattice parameters (Å, degrees): 3.404 3.404 12.354 82.08 82.08 60.00
Fractional positions:
Pa1 0.500 0.500 0.500
Ho1 0.907 0.907 0.279
Ho2 0.093 0.093 0.721
La1 0.000 0.000 0.000

***

No. 6
Density functional theory data (PBE) for an optimized crystal structure of Mo2PbSe.

Calculated values
Space group: P2/m, No. 10
Formation energy (no corrections) (eV per atom): 0.63

Lattice parameters (Å, degrees): 3.895 3.295 6.062 78.57 90.00 90.00
Fractional positions:
Mo1 0.000 0.599 0.536
Pb1 0.500 0.250 0.250
Se1 0.500 0.750 0.750
Mo2 0.000 0.901 0.964

***

No. 7
Density functional theory data (PBE) for an optimized crystal structure of La3CoI3.

Calculated values
Space group: P2_1/m, No. 11
Formation energy (no corrections) (eV per atom): -1.03

Lattice parameters (Å, degrees): 4.519 9.479 12.195 93.64 90.00 90.00
Fractional positions:
La1 0.750 0.687 0.382
I1 0.750 0.130 0.122
I2 0.250 0.359 0.884
La2 0.750 0.111 0.822
I3 0.250 0.870 0.878
I4 0.750 0.606 0.640
La3 0.250 0.313 0.618
Co1 0.750 0.114 0.626
La4 0.250 0.889 0.178
I5 0.750 0.641 0.116
La5 0.250 0.904 0.593
Co2 0.250 0.886 0.374
I6 0.250 0.394 0.360
La6 0.750 0.096 0.407

***

No. 8
Density functional theory data (PBE) for an optimized crystal structure of Pm2Ge4Ir3Au.

Calculated values
Space group: P-4m2, No. 115
Calculated formation energy (kJ per mole of atoms): -65.7

Lattice parameters (Å, degrees): 4.335 4.335 10.174 90.00 90.00 90.00
Fractional positions:
Ir1 0.000 0.500 0.123
Ge1 0.500 0.500 0.000
Ir2 0.000 0.000 0.500
Pm1 0.000 0.500 0.762
Ir3 0.500 0.000 0.877
Ge2 0.000 0.500 0.360
Ge3 0.000 0.000 0.000
Ge4 0.500 0.000 0.640
Au1 0.500 0.500 0.500
Pm2 0.500 0.000 0.238